No. 1
Compound: ErCo6B2
Source: Alexandria via LeMat-Bulk
Functional: PBE-GGA
Structure: relaxed

Energy relative to the elements   0.1466 eV/atom

Cell: 6.915 6.915 6.915 Å, 60.00 60.00 60.00°
Element x y z (fractional)
Er 0.125 0.125 0.125
Er 0.875 0.875 0.875
Co 0.166 0.166 0.584
Co 0.166 0.584 0.166
Co 0.166 0.584 0.584
Co 0.416 0.416 0.834
Co 0.416 0.834 0.416
Co 0.416 0.834 0.834
Co 0.584 0.166 0.166
Co 0.584 0.166 0.584
Co 0.584 0.584 0.166
Co 0.834 0.416 0.416
Co 0.834 0.416 0.834
Co 0.834 0.834 0.416
B 0.000 0.500 0.500
B 0.500 0.000 0.500
B 0.500 0.500 0.000
B 0.500 0.500 0.500

=====

No. 2
Compound: SmIn2GaPd4
Source: Alexandria via LeMat-Bulk
Functional: PBE-GGA
Structure: relaxed

Energy relative to the elements   -0.6264 eV/atom

Cell: 8.671 8.671 8.671 Å, 30.80 30.80 30.80°
Element x y z (fractional)
Sm 0.000 0.000 0.000
In 0.248 0.248 0.248
In 0.752 0.752 0.752
Ga 0.500 0.500 0.500
Pd 0.133 0.133 0.133
Pd 0.398 0.398 0.398
Pd 0.602 0.602 0.602
Pd 0.867 0.867 0.867

=====

No. 3
Compound: Co2MoRu
Source: Alexandria via LeMat-Bulk
Functional: PBE-GGA
Structure: relaxed

Excess energy over the best structure of this formula in the dataset   0.1318 eV/atom
Energy relative to the elements   0.1415 eV/atom

Cell: 2.630 2.630 7.344 Å, 90.00 90.00 90.00°
Element x y z (fractional)
Co 0.000 0.000 0.241
Co 0.000 0.000 0.759
Mo 0.500 0.500 0.500
Ru 0.500 0.500 0.000

=====

No. 4
Compound: ReMo2
Source: Alexandria via LeMat-Bulk
Functional: PBE-GGA
Structure: relaxed

Excess energy over the best structure of this formula in the dataset   0.2126 eV/atom
Energy relative to the elements   0.2565 eV/atom

Cell: 4.912 4.912 4.912 Å, 146.28 133.78 58.42°
Element x y z (fractional)
Re 0.000 0.000 0.000
Mo 0.336 0.336 0.000
Mo 0.664 0.664 0.000

=====

No. 5
Compound: PrTmAl3
Source: Alexandria via LeMat-Bulk
Functional: PBE-GGA
Structure: relaxed

Energy relative to the elements   -0.4295 eV/atom

Cell: 13.940 13.940 4.570 Å, 90.00 90.00 164.80°
Element x y z (fractional)
Pr 0.074 0.926 0.750
Pr 0.926 0.074 0.250
Tm 0.212 0.788 0.250
Tm 0.788 0.212 0.750
Al 0.325 0.675 0.250
Al 0.378 0.622 0.750
Al 0.476 0.524 0.750
Al 0.524 0.476 0.250
Al 0.622 0.378 0.250
Al 0.675 0.325 0.750

=====

No. 6
Compound: SmHo2O4
Source: Alexandria via LeMat-Bulk
Functional: PBE-GGA
Structure: relaxed

Uncorrected formation energy   -3.210 eV per atom

Cell: 6.484 6.484 5.850 Å, 116.21 116.21 30.50°
Element x y z (fractional)
Sm 0.000 0.000 0.000
Ho 0.289 0.289 0.291
Ho 0.711 0.711 0.709
O 0.141 0.141 0.437
O 0.347 0.347 0.981
O 0.653 0.653 0.019
O 0.859 0.859 0.563

=====

No. 7
Compound: BaNa2Zr3O8
Source: Alexandria via LeMat-Bulk
Functional: PBE-GGA
Structure: relaxed

Uncorrected formation energy   -2.848 eV per atom

Cell: 7.039 7.039 7.039 Å, 56.33 56.33 56.33°
Element x y z (fractional)
Ba 0.000 0.000 0.000
Na 0.373 0.373 0.373
Na 0.763 0.763 0.763
Zr 0.374 0.374 0.869
Zr 0.374 0.869 0.374
Zr 0.869 0.374 0.374
O 0.125 0.125 0.555
O 0.125 0.555 0.125
O 0.145 0.145 0.145
O 0.181 0.626 0.626
O 0.555 0.125 0.125
O 0.604 0.604 0.604
O 0.626 0.181 0.626
O 0.626 0.626 0.181

=====

No. 8
Compound: Pu2Pd13
Source: Alexandria via LeMat-Bulk
Functional: PBE-GGA
Structure: relaxed

Energy relative to the elements   0.1051 eV/atom

Cell: 7.947 7.947 7.947 Å, 55.28 55.28 55.28°
Element x y z (fractional)
Pu 0.240 0.240 0.240
Pu 0.760 0.760 0.760
Pd 0.000 0.000 0.000
Pd 0.018 0.018 0.645
Pd 0.018 0.645 0.018
Pd 0.237 0.237 0.607
Pd 0.237 0.607 0.237
Pd 0.355 0.982 0.982
Pd 0.393 0.763 0.763
Pd 0.607 0.237 0.237
Pd 0.645 0.018 0.018
Pd 0.763 0.393 0.763
Pd 0.763 0.763 0.393
Pd 0.982 0.355 0.982
Pd 0.982 0.982 0.355

=====

No. 9
Compound: SrZrP2Cl
Source: Alexandria via LeMat-Bulk
Functional: PBE-GGA
Structure: relaxed

Uncorrected formation energy   0.582 eV per atom
Excess energy over the best structure of this formula in the dataset   1.5660 eV/atom

Cell: 5.372 5.372 5.126 Å, 90.00 90.00 90.00°
Element x y z (fractional)
Sr 0.000 0.000 0.000
Zr 0.500 0.500 0.500
P 0.000 0.500 0.000
P 0.500 0.000 0.000
Cl 0.000 0.000 0.500

=====

No. 10
Compound: Nd6SmCd
Source: Alexandria via LeMat-Bulk
Functional: PBE-GGA
Structure: relaxed

Excess energy over the best structure of this formula in the dataset   0.0689 eV/atom
Energy relative to the elements   0.0280 eV/atom

Cell: 6.496 6.496 6.496 Å, 95.41 95.41 95.41°
Element x y z (fractional)
Nd 0.047 0.761 0.548
Nd 0.239 0.452 0.953
Nd 0.452 0.953 0.239
Nd 0.548 0.047 0.761
Nd 0.761 0.548 0.047
Nd 0.953 0.239 0.452
Sm 0.500 0.500 0.500
Cd 0.000 0.000 0.000

=====

No. 11
Compound: LiSeBr2F
Source: Alexandria via LeMat-Bulk
Functional: PBE-GGA
Structure: relaxed

Uncorrected formation energy   -0.009 eV per atom
Excess energy over the best structure of this formula in the dataset   0.3441 eV/atom

Cell: 4.752 4.752 4.819 Å, 90.00 90.00 90.00°
Element x y z (fractional)
Li 0.000 0.000 0.000
Se 0.000 0.000 0.500
Br 0.000 0.500 0.000
Br 0.500 0.000 0.000
F 0.500 0.500 0.500

=====

No. 12
Compound: HfMgAg
Source: Alexandria via LeMat-Bulk
Functional: PBE-GGA
Structure: relaxed

Energy relative to the elements   0.2107 eV/atom

Cell: 4.679 4.679 7.321 Å, 108.40 108.40 59.78°
Element x y z (fractional)
Hf 0.207 0.207 0.123
Hf 0.793 0.793 0.877
Mg 0.373 0.373 0.617
Mg 0.627 0.627 0.383
Ag 0.071 0.071 0.705
Ag 0.929 0.929 0.295

=====

No. 13
Compound: Ac2Mg6Pd3
Source: Alexandria via LeMat-Bulk
Functional: PBE-GGA
Structure: relaxed

Energy relative to the elements   -0.4346 eV/atom

Cell: 8.453 8.453 4.342 Å, 90.00 90.00 120.00°
Element x y z (fractional)
Ac 0.333 0.667 0.000
Ac 0.667 0.333 0.000
Mg 0.000 0.205 0.000
Mg 0.000 0.711 0.500
Mg 0.205 0.000 0.000
Mg 0.289 0.289 0.500
Mg 0.711 0.000 0.500
Mg 0.795 0.795 0.000
Pd 0.000 0.387 0.500
Pd 0.387 0.000 0.500
Pd 0.613 0.613 0.500

=====

No. 14
Compound: Cs5K5Au6
Source: Alexandria via LeMat-Bulk
Functional: PBE-GGA
Structure: relaxed

Energy relative to the elements   -0.2361 eV/atom

Cell: 7.387 10.394 10.394 Å, 119.23 90.00 90.00°
Element x y z (fractional)
Cs 0.000 0.000 0.000
Cs 0.000 0.465 0.728
Cs 0.000 0.728 0.465
Cs 0.500 0.730 0.998
Cs 0.500 0.998 0.730
K 0.251 0.069 0.399
K 0.251 0.399 0.069
K 0.500 0.452 0.452
K 0.749 0.069 0.399
K 0.749 0.399 0.069
Au 0.000 0.126 0.729
Au 0.000 0.334 0.334
Au 0.000 0.729 0.126
Au 0.500 0.129 0.129
Au 0.500 0.339 0.724
Au 0.500 0.724 0.339

=====

No. 15
Compound: ThMg4
Source: Alexandria via LeMat-Bulk
Functional: PBE-GGA
Structure: relaxed

Excess energy over the best structure of this formula in the dataset   1.2680 eV/atom
Energy relative to the elements   1.2930 eV/atom

Cell: 6.069 6.069 6.069 Å, 90.00 90.00 90.00°
Element x y z (fractional)
Th 0.000 0.000 0.000
Mg 0.000 0.000 0.500
Mg 0.000 0.500 0.000
Mg 0.500 0.000 0.000
Mg 0.500 0.500 0.500

=====

No. 16
Compound: CaCdPS2
Source: Alexandria via LeMat-Bulk
Functional: PBE-GGA
Structure: relaxed

Uncorrected formation energy   -0.013 eV per atom
Excess energy over the best structure of this formula in the dataset   0.0000 eV/atom

Cell: 5.096 5.096 4.853 Å, 90.00 90.00 90.00°
Element x y z (fractional)
Ca 0.000 0.000 0.000
Cd 0.500 0.500 0.500
P 0.500 0.500 0.000
S 0.000 0.500 0.500
S 0.500 0.000 0.500

=====

No. 17
Compound: NiAg2Pt
Source: Alexandria via LeMat-Bulk
Functional: PBE-GGA
Structure: relaxed

Energy relative to the elements   0.1709 eV/atom

Cell: 2.747 2.747 9.449 Å, 90.00 90.00 117.96°
Element x y z (fractional)
Ni 0.000 0.000 0.000
Ag 0.500 0.500 0.236
Ag 0.500 0.500 0.764
Pt 0.000 0.000 0.500